No. 1
Compound: NaBiN2Cl
Source: Alexandria
Functional: GGA-PBE
Structure: optimized geometry

Cell: 4.4977 4.7074 4.4977 Å, 90.00 90.00 90.00°
Closest atoms and distances in Å follow each position.
Sites, in units of the cell vectors:
N: 0.5000 0.0000 0.0000  2 Na 2.25
N: 0.0000 0.0000 0.5000  2 Na 2.25
Na: 0.0000 0.0000 0.0000  4 N 2.25, 2 Cl 2.35
Bi: 0.5000 0.5000 0.5000  4 Cl 3.18, 8 N 3.26
Cl: 0.0000 0.5000 0.0000  2 Na 2.35

Computed properties:
Final energy in eV per atom: -3.283
Spin magnetization in μB per formula unit: 3.005
Density of states at the Fermi level in states/eV/f.u.: 2.7

***

No. 2
Compound: CeHgGeAu
Source: Alexandria
Functional: GGA-PBE
Structure: optimized geometry

Cell: 5.0273 5.0273 5.0273 Å, 60.00 60.00 60.00°
Closest atoms and distances in Å follow each position.
Sites, in units of the cell vectors:
Ge: 0.7500 0.7500 0.7500  4 Ce 3.08, 4 Hg 3.08
Ce: 0.0000 0.0000 0.0000  4 Ge 3.08, 4 Au 3.08
Hg: 0.5000 0.5000 0.5000  4 Ge 3.08, 4 Au 3.08
Au: 0.2500 0.2500 0.2500  4 Hg 3.08, 4 Ce 3.08

Computed properties:
Energy of formation in kJ per mole of atoms: -38.15
Final energy in eV per atom: -3.928
Spin magnetization in μB per formula unit: 0.844
Density of states at the Fermi level in states/eV/f.u.: 5.7

***

No. 3
Compound: NbCrP2H
Source: Alexandria
Functional: GGA-PBE
Structure: optimized geometry

Cell: 4.4723 3.2344 4.4723 Å, 90.00 90.00 90.00°
Closest atoms and distances in Å follow each position.
Sites, in units of the cell vectors:
P: 0.5000 0.0000 0.0000  2 Cr 2.24
P: 0.0000 0.0000 0.5000  2 Cr 2.24
H: 0.0000 0.5000 0.0000  2 Cr 1.62
Nb: 0.5000 0.5000 0.5000  8 P 2.76
Cr: 0.0000 0.0000 0.0000  2 H 1.62

Computed properties:
Final energy in eV per atom: -6.699
Spin magnetization in μB per formula unit: 0.800
Density of states at the Fermi level in states/eV/f.u.: 3.6

***

Question: Which of these has the highest density of states at the Fermi level?
Answer: CeHgGeAu